# 1
Entry from the Alexandria database: a relaxed CsYSn2O crystal (GGA-PBE).

The calculation puts the theoretical density at 4.8 Mg/m³. Its formation energy (no corrections) is -0.535 eV/atom.

The space group is P4/mmm (No. 123) and the conventional cell measures 6.242, 6.242 and 4.230 Å, with angles of 90.00, 90.00 and 90.00 degrees. The inequivalent atoms are Cs at (0.000, 0.000, 0.000), Y at (0.500, 0.500, 0.000), Sn at (0.000, 0.500, 0.500) and O at (0.500, 0.500, 0.500).

***

# 2
Entry from the Alexandria database: a relaxed CsZrSnO2 crystal (GGA-PBE).

The calculation puts the theoretical density at 5.5 Mg/m³. Its formation energy (no corrections) is -1.124 eV/atom.

The space group is P4/mmm (No. 123) and the conventional cell measures 4.366, 4.366 and 5.961 Å, with angles of 90.00, 90.00 and 90.00 degrees. The inequivalent atoms are Cs at (0.000, 0.000, 0.000), Zr at (0.500, 0.500, 0.500), Sn at (0.500, 0.500, 0.000) and O at (0.000, 0.500, 0.500).

***

# 3
Entry from the Alexandria database: a relaxed Cs3SrO8 crystal (GGA-PBE).

The calculation puts the theoretical density at 3.5 Mg/m³. Its formation energy (no corrections) is -1.063 eV/atom.

The space group is I-42m (No. 121) and the conventional cell measures 7.900, 7.900 and 9.220 Å, with angles of 90.00, 90.00 and 90.00 degrees. The inequivalent atoms are Cs at (0.000, 0.000, 0.000), Cs at (0.000, 0.500, 0.250), Sr at (0.000, 0.000, 0.500), O at (0.158, 0.158, 0.308) and O at (0.223, 0.223, 0.437).

***

# 4
Entry from the Alexandria database: a relaxed CsSr3O crystal (GGA-PBE).

The calculation puts the theoretical density at 3.6 Mg/m³. Its formation energy (no corrections) is -0.601 eV/atom.

The space group is Pm-3m (No. 221) and the conventional cell measures 5.763, 5.763 and 5.763 Å, with angles of 90.00, 90.00 and 90.00 degrees. The inequivalent atoms are Cs at (0.000, 0.000, 0.000), Sr at (0.000, 0.500, 0.500) and O at (0.500, 0.500, 0.500).

***

# 5
Entry from the Alexandria database: a relaxed CsSrO2 crystal (GGA-PBE).

The calculation puts the theoretical density at 3.8 Mg/m³. Its formation energy (no corrections) is -1.549 eV/atom.

The space group is I-42d (No. 122) and the conventional cell measures 6.676, 6.676 and 9.970 Å, with angles of 90.00, 90.00 and 90.00 degrees. The inequivalent atoms are Cs at (0.000, 0.000, 0.000), Sr at (0.000, 0.000, 0.500) and O at (0.178, 0.250, 0.625).

***

# 6
Entry from the Alexandria database: a relaxed Cs2SrO2 crystal (GGA-PBE).

The calculation puts the theoretical density at 4.6 Mg/m³. Its formation energy (no corrections) is -1.613 eV/atom.

The space group is P2_1/c (No. 14) and the conventional cell measures 10.009, 7.406 and 7.554 Å, with angles of 90.00, 99.14 and 90.00 degrees. The inequivalent atoms are Cs at (0.030, 0.245, 0.001), Cs at (0.303, 0.622, 0.871), Sr at (0.382, 0.103, 0.838), O at (0.161, 0.528, 0.250) and O at (0.454, 0.147, 0.161).

***

# 7
Entry from the Alexandria database: a relaxed CsSrO2 crystal (GGA-PBE).

The calculation puts the theoretical density at 5.4 Mg/m³. Its formation energy (no corrections) is -1.236 eV/atom.

The space group is Fm-3m (No. 225) and the conventional cell measures 6.775, 6.775 and 6.775 Å, with angles of 90.00, 90.00 and 90.00 degrees. The inequivalent atoms are Cs at (0.000, 0.000, 0.000), Sr at (0.000, 0.000, 0.500) and O at (0.250, 0.250, 0.250).

***

# 8
Entry from the Alexandria database: a relaxed Cs3SrO crystal (GGA-PBE).

The calculation puts the theoretical density at 3.3 Mg/m³. Its formation energy (no corrections) is -0.274 eV/atom.

The space group is Pm-3m (No. 221) and the conventional cell measures 6.351, 6.351 and 6.351 Å, with angles of 90.00, 90.00 and 90.00 degrees. The inequivalent atoms are Cs at (0.000, 0.000, 0.500), Sr at (0.500, 0.500, 0.500) and O at (0.000, 0.000, 0.000).

***

Taking the records one at a time from the top gives calculated volume values of 165, 114, 288, 191, 111, 138, 78, 256 Å³/f.u..
Taking the records one at a time from the top gives E values of -4.5915, -5.7883, -4.7222, -2.7728, -4.6619, -4.2738, -4.3492, -2.1138 eV per atom.
Taking the records one at a time from the top gives D(E_F) values of 0.996, 0.509, 0.918, 0.947, 1.746, 0.000, 1.593, 0.700 states/eV per atom.